The following is a DFT calculation (PBE) of an optimized crystal structure of InOsPb2.

Structure (CIF):
```
data_InOsPb2
_chemical_formula_sum 'In1 Os1 Pb2'
_space_group_name_H-M_alt 'P 1'
_space_group_IT_number 1
_cell_length_a 3.606
_cell_length_b 5.029
_cell_length_c 5.141
_cell_angle_alpha 90.00
_cell_angle_beta 90.00
_cell_angle_gamma 90.00
loop_
_space_group_symop_operation_xyz
'x,y,z'
loop_
_atom_site_label
_atom_site_type_symbol
_atom_site_fract_x
_atom_site_fract_y
_atom_site_fract_z
Os1 Os 0.000 0.500 0.500
Pb1 Pb 0.500 0.500 0.000
Pb2 Pb 0.000 0.000 0.000
In1 In 0.500 0.000 0.500
```

Calculated values
energy of formation from the pure elements	0.864	eV/atom
raw total energy	-4.483	eV/atom
symmetry	No. 47